PBE with a Hubbard U MnHgC2O, relaxed; DFT total energy = -15.29 eV/cell
1.0
3.966 0.000 0.000
0.000 3.966 0.000
0.000 0.000 5.837
Mn Hg C O
1 1 2 1
Direct
0.000 0.000 0.000
0.000 0.000 0.500
0.000 0.500 0.500
0.500 0.000 0.500
0.500 0.500 0.000